No. 1
The following is a DFT calculation (PBE) of a relaxed MnPCBr crystal.

a = 2.851 Å, b = 3.314 Å, c = 8.069 Å
α = 90.00°, β = 90.00°, γ = 90.00°
Sites, in units of the cell vectors:
Mn 0.000 0.000 0.000
P 0.000 0.500 0.772
C 0.500 0.500 0.914
Br 0.500 0.000 0.276

Values from the calculation:
ΔE to the lowest computed polymorph	2.43	kcal/mol of atoms
density of states at the Fermi level	1.9	states/eV/f.u.
crystal system	orthorhombic
space-group type	Pmm2 (25)



No. 2
The following is a DFT calculation (PBE) of a relaxed MnPCBr crystal.

a = 3.319 Å, b = 3.416 Å, c = 7.012 Å
α = 90.00°, β = 98.45°, γ = 90.00°
Sites, in units of the cell vectors:
Mn 0.000 0.000 0.000
P 0.755 0.500 0.219
C 0.220 0.500 0.087
Br 0.423 0.000 0.732

Values from the calculation:
ΔE to the lowest computed polymorph	1.70	kcal/mol of atoms
density of states at the Fermi level	1.2	states/eV/f.u.
crystal system	monoclinic
space-group type	Pm (6)



No. 3
The following is a DFT calculation (PBE) of a relaxed MnPCBr crystal.

a = 6.157 Å, b = 3.182 Å, c = 8.027 Å
α = 90.00°, β = 109.14°, γ = 90.00°
Sites, in units of the cell vectors:
Mn 0.000 0.000 0.000
Mn 0.500 0.500 0.000
P 0.393 0.000 0.767
P 0.893 0.500 0.767
C 0.162 0.500 0.918
C 0.662 0.000 0.918
Br 0.436 0.000 0.232
Br 0.936 0.500 0.232

Values from the calculation:
ΔE to the lowest computed polymorph	1.58	kcal/mol of atoms
crystal system	monoclinic
space-group type	Cm (8)



No. 4
The following is a DFT calculation (PBE) of a relaxed Mn2PbCBr crystal.

a = 4.023 Å, b = 4.023 Å, c = 6.640 Å
α = 90.00°, β = 90.00°, γ = 90.00°
Sites, in units of the cell vectors:
Mn 0.000 0.500 0.000
Mn 0.500 0.000 0.000
Pb 0.000 0.000 0.500
C 0.500 0.500 0.000
Br 0.500 0.500 0.500

Values from the calculation:
density of states at the Fermi level	3.8	states/eV/f.u.
crystal system	tetragonal
space-group type	P4/mmm (123)



No. 5
The following is a DFT calculation (PBE) of a relaxed Rb2MnCBr6 crystal.

a = 7.362 Å, b = 7.362 Å, c = 7.362 Å
α = 60.00°, β = 60.00°, γ = 60.00°
Sites, in units of the cell vectors:
Rb 0.250 0.250 0.250
Rb 0.750 0.750 0.750
Mn 0.000 0.000 0.000
C 0.500 0.500 0.500
Br 0.255 0.255 0.745
Br 0.255 0.745 0.255
Br 0.255 0.745 0.745
Br 0.745 0.255 0.255
Br 0.745 0.255 0.745
Br 0.745 0.745 0.255

Values from the calculation:
density of states at the Fermi level	0.0	states/eV/f.u.
crystal system	cubic
space-group type	Fm-3m (225)



No. 6
The following is a DFT calculation (PBE) of a relaxed MnCSe2Br crystal.

a = 4.522 Å, b = 4.522 Å, c = 5.289 Å
α = 90.00°, β = 90.00°, γ = 90.00°
Sites, in units of the cell vectors:
Mn 0.000 0.000 0.000
C 0.500 0.500 0.500
Se 0.000 0.500 0.000
Se 0.500 0.000 0.000
Br 0.000 0.000 0.500

Values from the calculation:
ΔE to the lowest computed polymorph	0.00	kcal/mol of atoms
density of states at the Fermi level	5.8	states/eV/f.u.
crystal system	tetragonal
space-group type	P4/mmm (123)



No. 7
The following is a DFT calculation (PBE) of a relaxed MnCSe2Br crystal.

a = 4.372 Å, b = 4.372 Å, c = 4.621 Å
α = 90.00°, β = 90.00°, γ = 90.00°
Sites, in units of the cell vectors:
Mn 0.000 0.000 0.000
C 0.500 0.500 0.500
Se 0.000 0.500 0.500
Se 0.500 0.000 0.500
Br 0.500 0.500 0.000

Values from the calculation:
ΔE to the lowest computed polymorph	1.13	kcal/mol of atoms
density of states at the Fermi level	5.5	states/eV/f.u.
crystal system	tetragonal
space-group type	P4/mmm (123)



No. 8
The following is a DFT calculation (PBE) of a relaxed MnTcC2Br crystal.

a = 3.917 Å, b = 3.917 Å, c = 5.131 Å
α = 90.00°, β = 90.00°, γ = 90.00°
Sites, in units of the cell vectors:
Mn 0.000 0.000 0.000
Tc 0.000 0.000 0.500
C 0.000 0.500 0.500
C 0.500 0.000 0.500
Br 0.500 0.500 0.000

Values from the calculation:
density of states at the Fermi level	6.0	states/eV/f.u.
crystal system	tetragonal
space-group type	P4/mmm (123)



No. 9
The following is a DFT calculation (PBE) of a relaxed MnW2CBr crystal.

a = 4.629 Å, b = 4.629 Å, c = 4.259 Å
α = 90.00°, β = 90.00°, γ = 90.00°
Sites, in units of the cell vectors:
Mn 0.000 0.000 0.000
W 0.000 0.500 0.500
W 0.500 0.000 0.500
C 0.500 0.500 0.000
Br 0.000 0.000 0.500

Values from the calculation:
density of states at the Fermi level	4.5	states/eV/f.u.
crystal system	tetragonal
space-group type	P4/mmm (123)



No. 10
The following is a DFT calculation (PBE) of a relaxed ZrMn2CBr crystal.

a = 4.029 Å, b = 4.029 Å, c = 4.838 Å
α = 90.00°, β = 90.00°, γ = 90.00°
Sites, in units of the cell vectors:
Zr 0.000 0.000 0.000
Mn 0.000 0.500 0.500
Mn 0.500 0.000 0.500
C 0.000 0.000 0.500
Br 0.500 0.500 0.000

Values from the calculation:
density of states at the Fermi level	4.7	states/eV/f.u.
crystal system	tetragonal
space-group type	P4/mmm (123)



No. 11
The following is a DFT calculation (PBE) of a relaxed Mo2CBr crystal.

a = 5.359 Å, b = 5.359 Å, c = 10.053 Å
α = 90.00°, β = 90.00°, γ = 90.00°
Sites, in units of the cell vectors:
Mo 0.151 0.250 0.125
Mo 0.250 0.651 0.375
Mo 0.250 0.849 0.875
Mo 0.349 0.250 0.625
Mo 0.651 0.750 0.625
Mo 0.750 0.151 0.875
Mo 0.750 0.349 0.375
Mo 0.849 0.750 0.125
C 0.000 0.000 0.000
C 0.000 0.500 0.250
C 0.500 0.000 0.750
C 0.500 0.500 0.500
Br 0.000 0.000 0.500
Br 0.000 0.500 0.750
Br 0.500 0.000 0.250
Br 0.500 0.500 0.000

Values from the calculation:
ΔE to the lowest computed polymorph	0.00	kcal/mol of atoms
density of states at the Fermi level	4.4	states/eV/f.u.
crystal system	tetragonal
space-group type	I-42d (122)



No. 12
The following is a DFT calculation (PBE) of a relaxed Mo2CBr crystal.

a = 5.961 Å, b = 5.961 Å, c = 5.961 Å
α = 90.00°, β = 90.00°, γ = 90.00°
Sites, in units of the cell vectors:
Mo 0.250 0.250 0.250
Mo 0.250 0.250 0.750
Mo 0.250 0.750 0.250
Mo 0.250 0.750 0.750
Mo 0.750 0.250 0.250
Mo 0.750 0.250 0.750
Mo 0.750 0.750 0.250
Mo 0.750 0.750 0.750
C 0.000 0.000 0.000
C 0.000 0.500 0.500
C 0.500 0.000 0.500
C 0.500 0.500 0.000
Br 0.000 0.000 0.500
Br 0.000 0.500 0.000
Br 0.500 0.000 0.000
Br 0.500 0.500 0.500

Values from the calculation:
ΔE to the lowest computed polymorph	10.63	kcal/mol of atoms
density of states at the Fermi level	3.4	states/eV/f.u.
crystal system	cubic
space-group type	Fm-3m (225)



No. 13
The following is a DFT calculation (PBE) of a relaxed NbMo2CBr crystal.

a = 4.828 Å, b = 4.828 Å, c = 5.005 Å
α = 90.00°, β = 90.00°, γ = 90.00°
Sites, in units of the cell vectors:
Nb 0.000 0.000 0.000
Mo 0.000 0.500 0.000
Mo 0.500 0.000 0.000
C 0.500 0.500 0.500
Br 0.000 0.000 0.500

Values from the calculation:
density of states at the Fermi level	5.3	states/eV/f.u.
crystal system	tetragonal
space-group type	P4/mmm (123)



No. 14
The following is a DFT calculation (PBE) of a relaxed MoPC2Br crystal.

a = 3.581 Å, b = 3.581 Å, c = 6.661 Å
α = 90.00°, β = 90.00°, γ = 90.00°
Sites, in units of the cell vectors:
Mo 0.000 0.000 0.000
P 0.500 0.500 0.500
C 0.000 0.500 0.500
C 0.500 0.000 0.500
Br 0.500 0.500 0.000

Values from the calculation:
density of states at the Fermi level	2.8	states/eV/f.u.
crystal system	tetragonal
space-group type	P4/mmm (123)



No. 15
The following is a DFT calculation (PBE) of a relaxed MoPtC2Br crystal.

a = 3.899 Å, b = 3.899 Å, c = 5.001 Å
α = 90.00°, β = 90.00°, γ = 90.00°
Sites, in units of the cell vectors:
Mo 0.000 0.000 0.000
Pt 0.500 0.500 0.000
C 0.000 0.500 0.500
C 0.500 0.000 0.500
Br 0.000 0.000 0.500

Values from the calculation:
density of states at the Fermi level	5.6	states/eV/f.u.
crystal system	tetragonal
space-group type	P4/mmm (123)



No. 16
The following is a DFT calculation (PBE) of a relaxed MoCSe2Br crystal.

a = 4.329 Å, b = 4.329 Å, c = 4.440 Å
α = 90.00°, β = 90.00°, γ = 90.00°
Sites, in units of the cell vectors:
Mo 0.000 0.000 0.000
C 0.500 0.500 0.500
Se 0.000 0.500 0.500
Se 0.500 0.000 0.500
Br 0.500 0.500 0.000

Values from the calculation:
ΔE to the lowest computed polymorph	1.01	kcal/mol of atoms
density of states at the Fermi level	5.8	states/eV/f.u.
crystal system	tetragonal
space-group type	P4/mmm (123)



No. 17
The following is a DFT calculation (PBE) of a relaxed MoCSe2Br crystal.

a = 4.891 Å, b = 4.891 Å, c = 5.208 Å
α = 90.00°, β = 90.00°, γ = 90.00°
Sites, in units of the cell vectors:
Mo 0.000 0.000 0.000
C 0.500 0.500 0.500
Se 0.000 0.500 0.000
Se 0.500 0.000 0.000
Br 0.000 0.000 0.500

Values from the calculation:
ΔE to the lowest computed polymorph	0.00	kcal/mol of atoms
density of states at the Fermi level	4.7	states/eV/f.u.
crystal system	tetragonal
space-group type	P4/mmm (123)



No. 18
The following is a DFT calculation (PBE) of a relaxed SiMo2CBr crystal.

a = 4.434 Å, b = 4.434 Å, c = 3.622 Å
α = 90.00°, β = 90.00°, γ = 90.00°
Sites, in units of the cell vectors:
Si 0.000 0.000 0.000
Mo 0.000 0.500 0.500
Mo 0.500 0.000 0.500
C 0.000 0.000 0.500
Br 0.500 0.500 0.000

Values from the calculation:
density of states at the Fermi level	6.7	states/eV/f.u.
crystal system	tetragonal
space-group type	P4/mmm (123)



No. 19
The following is a DFT calculation (PBE) of a relaxed Zn2MoCBr crystal.

a = 5.185 Å, b = 5.185 Å, c = 5.128 Å
α = 90.00°, β = 90.00°, γ = 90.00°
Sites, in units of the cell vectors:
Zn 0.000 0.500 0.000
Zn 0.500 0.000 0.000
Mo 0.000 0.000 0.500
C 0.500 0.500 0.500
Br 0.000 0.000 0.000

Values from the calculation:
density of states at the Fermi level	3.2	states/eV/f.u.
crystal system	tetragonal
space-group type	P4/mmm (123)



No. 20
The following is a DFT calculation (PBE) of a relaxed Nd4CBr2N crystal.

a = 6.530 Å, b = 3.771 Å, c = 7.725 Å
α = 90.00°, β = 106.45°, γ = 90.00°
Sites, in units of the cell vectors:
Nd 0.224 0.000 0.180
Nd 0.269 0.500 0.819
Nd 0.731 0.500 0.181
Nd 0.776 0.000 0.820
C 0.500 0.000 0.000
Br 0.000 0.000 0.500
Br 0.500 0.500 0.500
N 0.000 0.500 0.000

Values from the calculation:
density of states at the Fermi level	2.1	states/eV/f.u.
crystal system	monoclinic
space-group type	P2/m (10)



No. 21
The following is a DFT calculation (PBE) of a relaxed Nd6C2Br3N crystal.

a = 6.552 Å, b = 6.552 Å, c = 7.747 Å
α = 98.10°, β = 98.10°, γ = 120.00°
Sites, in units of the cell vectors:
Nd 0.060 0.391 0.181
Nd 0.270 0.270 0.818
Nd 0.391 0.060 0.181
Nd 0.609 0.940 0.819
Nd 0.730 0.730 0.182
Nd 0.940 0.609 0.819
C 0.334 0.666 0.000
C 0.666 0.334 0.000
Br 0.169 0.831 0.500
Br 0.500 0.500 0.500
Br 0.831 0.169 0.500
N 0.000 0.000 0.000

Values from the calculation:
density of states at the Fermi level	4.8	states/eV/f.u.
crystal system	monoclinic
space-group type	C2/m (12)



No. 22
The following is a DFT calculation (PBE) of a relaxed Nd8CBr4N3 crystal.

a = 7.505 Å, b = 7.505 Å, c = 8.545 Å
α = 116.01°, β = 116.01°, γ = 60.09°
Sites, in units of the cell vectors:
Nd 0.223 0.728 0.679
Nd 0.226 0.226 0.678
Nd 0.272 0.272 0.321
Nd 0.272 0.777 0.321
Nd 0.728 0.223 0.679
Nd 0.728 0.728 0.679
Nd 0.774 0.774 0.322
Nd 0.777 0.272 0.321
C 0.500 0.500 0.500
Br 0.000 0.000 0.000
Br 0.000 0.500 0.000
Br 0.500 0.000 0.000
Br 0.500 0.500 0.000
N 0.000 0.000 0.500
N 0.000 0.500 0.500
N 0.500 0.000 0.500

Values from the calculation:
density of states at the Fermi level	3.3	states/eV/f.u.
crystal system	monoclinic
space-group type	C2/m (12)



No. 23
The following is a DFT calculation (PBE) of a relaxed Nd6C2Br2N crystal.

a = 6.521 Å, b = 6.521 Å, c = 7.592 Å
α = 98.47°, β = 98.47°, γ = 119.83°
Sites, in units of the cell vectors:
Nd 0.065 0.393 0.187
Nd 0.268 0.268 0.812
Nd 0.393 0.065 0.187
Nd 0.607 0.935 0.813
Nd 0.732 0.732 0.188
Nd 0.935 0.607 0.813
C 0.331 0.669 0.000
C 0.669 0.331 0.000
Br 0.170 0.830 0.500
Br 0.830 0.170 0.500
N 0.000 0.000 0.000

Values from the calculation:
density of states at the Fermi level	4.9	states/eV/f.u.
crystal system	monoclinic
space-group type	C2/m (12)



No. 24
The following is a DFT calculation (PBE) of a relaxed PdC4Br4N2 crystal.

a = 8.499 Å, b = 8.499 Å, c = 12.001 Å
α = 90.00°, β = 90.00°, γ = 50.62°
Sites, in units of the cell vectors:
Pd 0.000 0.000 0.000
Pd 0.500 0.500 0.500
C 0.072 0.149 0.399
C 0.149 0.072 0.601
C 0.351 0.428 0.101
C 0.428 0.351 0.899
C 0.572 0.649 0.101
C 0.649 0.572 0.899
C 0.851 0.928 0.399
C 0.928 0.851 0.601
Br 0.160 0.160 0.000
Br 0.242 0.758 0.139
Br 0.258 0.742 0.639
Br 0.340 0.340 0.500
Br 0.660 0.660 0.500
Br 0.742 0.258 0.361
Br 0.758 0.242 0.861
Br 0.840 0.840 0.000
N 0.099 0.099 0.500
N 0.401 0.401 0.000
N 0.599 0.599 0.000
N 0.901 0.901 0.500

Values from the calculation:
density of states at the Fermi level	0.6	states/eV/f.u.
crystal system	orthorhombic
space-group type	Cmce (64)



No. 25
The following is a DFT calculation (PBE) of a relaxed Pm6C2Br2N crystal.

a = 6.479 Å, b = 6.479 Å, c = 7.474 Å
α = 98.54°, β = 98.54°, γ = 119.81°
Sites, in units of the cell vectors:
Pm 0.107 0.434 0.812
Pm 0.230 0.230 0.190
Pm 0.434 0.107 0.812
Pm 0.566 0.893 0.188
Pm 0.770 0.770 0.810
Pm 0.893 0.566 0.188
C 0.169 0.831 0.000
C 0.831 0.169 0.000
Br 0.330 0.670 0.500
Br 0.670 0.330 0.500
N 0.500 0.500 0.000

Values from the calculation:
density of states at the Fermi level	5.7	states/eV/f.u.
crystal system	monoclinic
space-group type	C2/m (12)



ΔE_f (raw), record by record: 0.361, 0.329, 0.324, 0.607, -0.459, 1.545, 1.594, 1.690, 3.121, 0.187, 0.841, 1.302, 2.855, 1.988, 3.078, 1.502, 1.459, 0.867, 2.496, -1.158, -1.070, -1.283, -0.851, 1.063, -0.879 eV/atom